No. 1
# PBE LaAgSnSe2S, optimized geometry
data_LaAgSnSe2S
_cell_length_a 4.220
_cell_length_b 13.546
_cell_length_c 10.857
_cell_angle_alpha 90.00
_cell_angle_beta 90.00
_cell_angle_gamma 90.00
_symmetry_space_group_name_H-M 'C m c m'
_symmetry_Int_Tables_number 63
_symmetry_space_group_name_Hall '-C 2c 2'
loop_
_atom_site_label
_atom_site_fract_x
_atom_site_fract_y
_atom_site_fract_z
La1 0.000 0.000 0.000
Ag1 0.000 0.477 0.250
Sn1 0.000 0.251 0.750
Se1 0.000 0.349 0.067
S1 0.000 0.089 0.250
# - Total DFT energy (no corrections): -4.77 eV per atom


No. 2
# PBE La3SiAgS7, optimized geometry
data_La3SiAgS7
_cell_length_a 10.4548
_cell_length_b 10.4548
_cell_length_c 5.8287
_cell_angle_alpha 90.00
_cell_angle_beta 90.00
_cell_angle_gamma 120.00
_symmetry_space_group_name_H-M 'P 63'
_symmetry_Int_Tables_number 173
loop_
_symmetry_equiv_pos_as_xyz
'x,y,z'
'x-y,x,z+1/2'
'-y,x-y,z'
'-x,-y,z+1/2'
'-x+y,-x,z'
'y,-x+y,z+1/2'
loop_
_atom_site_label
_atom_site_fract_x
_atom_site_fract_y
_atom_site_fract_z
La1 0.1217 0.3597 0.0000
Si1 0.3333 0.6667 0.4138
Ag1 0.0000 0.0000 0.0493
S1 0.0882 0.2659 0.5133
S2 0.1179 0.5928 0.2697
S3 0.3333 0.6667 0.7763
# - Total DFT energy (no corrections): -5.94 eV per atom


No. 3
# PBE LaAgSnS3, optimized geometry
data_LaAgSnS3
_cell_length_a 4.113
_cell_length_b 13.008
_cell_length_c 10.923
_cell_angle_alpha 90.00
_cell_angle_beta 90.00
_cell_angle_gamma 90.00
_symmetry_space_group_name_H-M 'C m c m'
_symmetry_Int_Tables_number 63
_symmetry_space_group_name_Hall '-C 2c 2'
loop_
_atom_site_label
_atom_site_fract_x
_atom_site_fract_y
_atom_site_fract_z
La1 0.000 0.000 0.000
Ag1 0.000 0.475 0.250
Sn1 0.000 0.242 0.750
S1 0.000 0.096 0.250
S2 0.000 0.355 0.070
# - Total DFT energy (no corrections): -5.01 eV per atom


No. 4
# PBE LaAgSnTe2S, optimized geometry
data_LaAgSnTe2S
_cell_length_a 4.415
_cell_length_b 14.517
_cell_length_c 10.745
_cell_angle_alpha 90.00
_cell_angle_beta 90.00
_cell_angle_gamma 90.00
_symmetry_space_group_name_H-M 'C m c m'
_symmetry_Int_Tables_number 63
_symmetry_space_group_name_Hall '-C 2c 2'
loop_
_atom_site_label
_atom_site_fract_x
_atom_site_fract_y
_atom_site_fract_z
La1 0.000 0.000 0.000
Ag1 0.000 0.483 0.250
Sn1 0.000 0.264 0.750
Te1 0.000 0.344 0.065
S1 0.000 0.080 0.250
# - Total DFT energy (no corrections): -4.50 eV per atom


No. 5
# PBE LaAgSnTeS2, optimized geometry
data_LaAgSnTeS2
_cell_length_a 4.193
_cell_length_b 13.866
_cell_length_c 11.641
_cell_angle_alpha 90.00
_cell_angle_beta 90.00
_cell_angle_gamma 90.00
_symmetry_space_group_name_H-M 'C m c m'
_symmetry_Int_Tables_number 63
_symmetry_space_group_name_Hall '-C 2c 2'
loop_
_atom_site_label
_atom_site_fract_x
_atom_site_fract_y
_atom_site_fract_z
La1 0.000 0.000 0.000
Ag1 0.000 0.486 0.250
Sn1 0.000 0.205 0.750
Te1 0.000 0.121 0.250
S1 0.000 0.373 0.079
# - Total DFT energy (no corrections): -4.76 eV per atom


No. 6
# PBE SrLaAgTe2S, optimized geometry
data_SrLaAgTe2S
_cell_length_a 4.419
_cell_length_b 14.712
_cell_length_c 10.919
_cell_angle_alpha 90.00
_cell_angle_beta 90.00
_cell_angle_gamma 90.00
_symmetry_space_group_name_H-M 'C m c m'
_symmetry_Int_Tables_number 63
_symmetry_space_group_name_Hall '-C 2c 2'
loop_
_atom_site_label
_atom_site_fract_x
_atom_site_fract_y
_atom_site_fract_z
Sr1 0.000 0.224 0.250
La1 0.000 0.500 0.000
Ag1 0.000 0.021 0.750
Te1 0.000 0.152 0.564
S1 0.000 0.422 0.750
# - Total DFT energy (no corrections): -4.70 eV per atom


No. 7
# PBE SrLaAgTeS2, optimized geometry
data_SrLaAgTeS2
_cell_length_a 4.219
_cell_length_b 14.485
_cell_length_c 11.599
_cell_angle_alpha 90.00
_cell_angle_beta 90.00
_cell_angle_gamma 90.00
_symmetry_space_group_name_H-M 'C m c m'
_symmetry_Int_Tables_number 63
_symmetry_space_group_name_Hall '-C 2c 2'
loop_
_atom_site_label
_atom_site_fract_x
_atom_site_fract_y
_atom_site_fract_z
Sr1 0.000 0.208 0.250
La1 0.000 0.000 0.000
Ag1 0.000 0.490 0.750
Te1 0.000 0.114 0.750
S1 0.000 0.378 0.581
# - Total DFT energy (no corrections): -4.97 eV per atom


No. 8
# PBE LaAgTeS, optimized geometry
data_LaAgTeS
_cell_length_a 6.717
_cell_length_b 7.891
_cell_length_c 7.771
_cell_angle_alpha 90.00
_cell_angle_beta 95.09
_cell_angle_gamma 90.00
_symmetry_space_group_name_H-M 'P 1 21/c 1'
_symmetry_Int_Tables_number 14
loop_
_symmetry_equiv_pos_as_xyz
'x,y,z'
'-x,-y,-z'
'-x,y+1/2,-z+1/2'
'x,-y+1/2,z+1/2'
loop_
_atom_site_label
_atom_site_fract_x
_atom_site_fract_y
_atom_site_fract_z
La1 0.145 0.029 0.276
Ag1 0.434 0.675 0.471
Te1 0.361 0.092 0.710
S1 0.067 0.730 0.504
# - Total DFT energy (no corrections): -5.03 eV per atom